Entry 1:
Crystalline DyPu2Bi at its relaxed geometry. Source: Alexandria via LeMat-Bulk, functional GGA-PBE.

a = 4.611 Å, b = 4.611 Å, c = 5.210 Å
α = 90.00°, β = 90.00°, γ = 90.00°
Positions (direct):
1 Dy 0.000 0.000 0.000
2 Pu 0.000 0.500 0.500
3 Pu 0.500 0.000 0.500
4 Bi 0.500 0.500 0.000

Results
final energy: -38.2 eV per cell
symmetry: P4/mmm

***

Entry 2:
Crystalline DyPu3Bi4 at its relaxed geometry. Source: Alexandria via LeMat-Bulk, functional GGA-PBE.

a = 7.835 Å, b = 9.084 Å, c = 7.832 Å
α = 90.00°, β = 109.71°, γ = 90.00°
Positions (direct):
1 Dy 0.000 0.125 0.250
2 Dy 0.000 0.875 0.750
3 Pu 0.000 0.375 0.750
4 Pu 0.000 0.625 0.250
5 Pu 0.500 0.125 0.750
6 Pu 0.500 0.375 0.250
7 Pu 0.500 0.625 0.750
8 Pu 0.500 0.875 0.250
9 Bi 0.248 0.123 0.999
10 Bi 0.248 0.374 0.499
11 Bi 0.248 0.626 0.999
12 Bi 0.248 0.877 0.499
13 Bi 0.752 0.123 0.501
14 Bi 0.752 0.374 0.001
15 Bi 0.752 0.626 0.501
16 Bi 0.752 0.877 0.001

Results
final energy: -133.4 eV per cell
symmetry: P2/c

***

Entry 3:
Crystalline DyPuBi2 at its relaxed geometry. Source: Alexandria via LeMat-Bulk, functional GGA-PBE.

a = 5.854 Å, b = 5.854 Å, c = 3.399 Å
α = 90.00°, β = 90.00°, γ = 90.00°
Positions (direct):
1 Dy 0.000 0.000 0.000
2 Pu 0.500 0.500 0.000
3 Bi 0.000 0.500 0.500
4 Bi 0.500 0.000 0.500

Results
E above lowest polymorph: 0.102 eV/atom
final energy: -28.7 eV per cell
symmetry: P4/mmm

***

Entry 4:
Crystalline DyPuBi2 at its relaxed geometry. Source: Alexandria via LeMat-Bulk, functional GGA-PBE.

a = 4.462 Å, b = 4.462 Å, c = 7.776 Å
α = 90.00°, β = 90.00°, γ = 120.00°
Positions (direct):
1 Dy 0.000 0.000 0.000
2 Pu 0.000 0.000 0.500
3 Bi 0.333 0.667 0.754
4 Bi 0.667 0.333 0.246

Results
E above lowest polymorph: 0.083 eV/atom
final energy: -28.7 eV per cell
symmetry: P-3m1

***

Entry 5:
Crystalline Dy5PuBi6 at its relaxed geometry. Source: Alexandria via LeMat-Bulk, functional GGA-PBE.

a = 7.775 Å, b = 7.775 Å, c = 7.777 Å
α = 99.60°, β = 99.60°, γ = 119.96°
Positions (direct):
1 Dy 0.000 0.000 0.000
2 Dy 0.167 0.833 0.500
3 Dy 0.334 0.666 0.000
4 Dy 0.666 0.334 0.000
5 Dy 0.833 0.167 0.500
6 Pu 0.500 0.500 0.500
7 Bi 0.081 0.416 0.248
8 Bi 0.248 0.248 0.750
9 Bi 0.416 0.081 0.248
10 Bi 0.584 0.919 0.752
11 Bi 0.752 0.752 0.250
12 Bi 0.919 0.584 0.752

Results
final energy: -69.8 eV per cell
symmetry: C2/m

***

Entry 6:
Crystalline Dy2PuBi at its relaxed geometry. Source: Alexandria via LeMat-Bulk, functional GGA-PBE.

a = 4.019 Å, b = 4.019 Å, c = 7.234 Å
α = 90.00°, β = 90.00°, γ = 90.00°
Positions (direct):
1 Dy 0.000 0.000 0.234
2 Dy 0.000 0.000 0.766
3 Pu 0.500 0.500 0.500
4 Bi 0.500 0.500 0.000

Results
E above lowest polymorph: 0.044 eV/atom
final energy: -28.3 eV per cell
symmetry: P4/mmm

***

Entry 7:
Crystalline Dy2PuBi3 at its relaxed geometry. Source: Alexandria via LeMat-Bulk, functional GGA-PBE.

a = 14.905 Å, b = 14.211 Å, c = 7.795 Å
α = 79.45°, β = 69.61°, γ = 30.94°
Positions (direct):
1 Dy 0.042 0.042 0.208
2 Dy 0.125 0.125 0.625
3 Dy 0.208 0.208 0.042
4 Dy 0.375 0.375 0.875
5 Dy 0.625 0.625 0.125
6 Dy 0.792 0.792 0.958
7 Dy 0.875 0.875 0.375
8 Dy 0.958 0.958 0.792
9 Pu 0.292 0.292 0.458
10 Pu 0.458 0.458 0.292
11 Pu 0.542 0.542 0.708
12 Pu 0.708 0.708 0.542
13 Bi 0.043 0.541 0.206
14 Bi 0.123 0.627 0.627
15 Bi 0.206 0.710 0.043
16 Bi 0.290 0.794 0.459
17 Bi 0.373 0.877 0.877
18 Bi 0.459 0.957 0.290
19 Bi 0.541 0.043 0.710
20 Bi 0.627 0.123 0.123
21 Bi 0.710 0.206 0.541
22 Bi 0.794 0.290 0.957
23 Bi 0.877 0.373 0.373
24 Bi 0.957 0.459 0.794

Results
E above lowest polymorph: 0.000 eV/atom
final energy: -157.0 eV per cell
symmetry: Fddd

***

Entry 8:
Crystalline Dy2PuBi at its relaxed geometry. Source: Alexandria via LeMat-Bulk, functional GGA-PBE.

a = 11.131 Å, b = 11.131 Å, c = 11.131 Å
α = 18.33°, β = 18.33°, γ = 18.33°
Positions (direct):
1 Dy 0.249 0.249 0.249
2 Dy 0.751 0.751 0.751
3 Pu 0.000 0.000 0.000
4 Bi 0.500 0.500 0.500

Results
E above lowest polymorph: 0.156 eV/atom
final energy: -27.9 eV per cell
symmetry: R-3m

***

Entry 9:
Crystalline DyPu2Bi3 at its relaxed geometry. Source: Alexandria via LeMat-Bulk, functional GGA-PBE.

a = 7.826 Å, b = 7.826 Å, c = 7.826 Å
α = 146.47°, β = 131.84°, γ = 59.96°
Positions (direct):
1 Dy 0.000 0.000 0.000
2 Pu 0.333 0.333 0.000
3 Pu 0.667 0.667 0.000
4 Bi 0.166 0.666 0.500
5 Bi 0.500 0.000 0.500
6 Bi 0.834 0.334 0.500

Results
final energy: -47.9 eV per cell
symmetry: Immm

***

Entry 10:
Crystalline DyPuBi2 at its relaxed geometry. Source: Alexandria via LeMat-Bulk, functional GGA-PBE.

a = 5.495 Å, b = 5.495 Å, c = 5.495 Å
α = 60.00°, β = 60.00°, γ = 60.00°
Positions (direct):
1 Dy 0.000 0.000 0.000
2 Pu 0.500 0.500 0.500
3 Bi 0.250 0.250 0.250
4 Bi 0.750 0.750 0.750

Results
E above lowest polymorph: 0.143 eV/atom
final energy: -28.5 eV per cell
symmetry: Fm-3m

***

Entry 11:
Crystalline DyPuBi2 at its relaxed geometry. Source: Alexandria via LeMat-Bulk, functional GGA-PBE.

a = 7.807 Å, b = 7.807 Å, c = 7.807 Å
α = 33.57°, β = 33.57°, γ = 33.57°
Positions (direct):
1 Dy 0.000 0.000 0.000
2 Pu 0.500 0.500 0.500
3 Bi 0.251 0.251 0.251
4 Bi 0.749 0.749 0.749

Results
E above lowest polymorph: 0.000 eV/atom
final energy: -29.1 eV per cell
symmetry: R-3m

***

Entry 12:
Crystalline DyPuBi at its relaxed geometry. Source: Alexandria via LeMat-Bulk, functional GGA-PBE.

a = 5.318 Å, b = 5.318 Å, c = 3.671 Å
α = 90.00°, β = 90.00°, γ = 120.00°
Positions (direct):
1 Dy 0.000 0.000 0.000
2 Pu 0.667 0.333 0.558
3 Bi 0.333 0.667 0.226

Results
final energy: -23.2 eV per cell
symmetry: P3m1

***

Entry 13:
Crystalline Dy2PuBi3 at its relaxed geometry. Source: Alexandria via LeMat-Bulk, functional GGA-PBE.

a = 7.788 Å, b = 7.788 Å, c = 7.788 Å
α = 146.39°, β = 131.78°, γ = 60.06°
Positions (direct):
1 Dy 0.166 0.166 0.000
2 Dy 0.834 0.834 0.000
3 Pu 0.500 0.500 0.000
4 Bi 0.000 0.500 0.500
5 Bi 0.332 0.832 0.500
6 Bi 0.668 0.168 0.500

Results
E above lowest polymorph: 0.004 eV/atom
final energy: -39.2 eV per cell
symmetry: Immm

***

Entry 14:
Crystalline Dy2PuBi at its relaxed geometry. Source: Alexandria via LeMat-Bulk, functional GGA-PBE.

a = 4.951 Å, b = 4.951 Å, c = 4.613 Å
α = 90.00°, β = 90.00°, γ = 90.00°
Positions (direct):
1 Dy 0.000 0.500 0.000
2 Dy 0.500 0.000 0.000
3 Pu 0.000 0.000 0.500
4 Bi 0.500 0.500 0.500

Results
E above lowest polymorph: 0.000 eV/atom
final energy: -28.5 eV per cell
symmetry: P4/mmm

***

Entry 15:
Crystalline DyPuSc2Bi4 at its relaxed geometry. Source: Alexandria via LeMat-Bulk, functional GGA-PBE.

a = 7.588 Å, b = 4.390 Å, c = 7.611 Å
α = 90.00°, β = 109.41°, γ = 90.00°
Positions (direct):
1 Dy 0.000 0.000 0.000
2 Pu 0.000 0.500 0.500
3 Sc 0.500 0.000 0.500
4 Sc 0.500 0.500 0.000
5 Bi 0.266 0.500 0.254
6 Bi 0.267 0.000 0.757
7 Bi 0.733 0.000 0.243
8 Bi 0.734 0.500 0.746

Results
final energy: -52.1 eV per cell
symmetry: P2/m

***

Entry 16:
Crystalline SmDyPu2Bi4 at its relaxed geometry. Source: Alexandria via LeMat-Bulk, functional GGA-PBE.

a = 7.844 Å, b = 4.526 Å, c = 7.847 Å
α = 90.00°, β = 109.46°, γ = 90.00°
Positions (direct):
1 Sm 0.000 0.000 0.000
2 Dy 0.500 0.500 0.000
3 Pu 0.000 0.500 0.500
4 Pu 0.500 0.000 0.500
5 Bi 0.253 0.000 0.751
6 Bi 0.253 0.500 0.251
7 Bi 0.747 0.000 0.249
8 Bi 0.747 0.500 0.749

Results
final energy: -58.4 eV per cell
symmetry: P2/m

***

Entry 17:
Crystalline DyPuTh2Bi5 at its relaxed geometry. Source: Alexandria via LeMat-Bulk, functional GGA-PBE.

a = 5.439 Å, b = 5.439 Å, c = 11.790 Å
α = 90.00°, β = 90.00°, γ = 90.00°
Positions (direct):
1 Dy 0.000 0.000 0.000
2 Pu 0.000 0.000 0.500
3 Th 0.500 0.500 0.197
4 Th 0.500 0.500 0.803
5 Bi 0.000 0.000 0.250
6 Bi 0.000 0.000 0.750
7 Bi 0.000 0.500 0.000
8 Bi 0.500 0.000 0.000
9 Bi 0.500 0.500 0.500

Results
final energy: -51.9 eV per cell
symmetry: P4/mmm

***

Entry 18:
Crystalline Dy2PuThBi4 at its relaxed geometry. Source: Alexandria via LeMat-Bulk, functional GGA-PBE.

a = 7.830 Å, b = 4.535 Å, c = 7.847 Å
α = 90.00°, β = 109.51°, γ = 90.00°
Positions (direct):
1 Dy 0.000 0.000 0.000
2 Dy 0.000 0.500 0.500
3 Pu 0.500 0.000 0.500
4 Th 0.500 0.500 0.000
5 Bi 0.242 0.000 0.746
6 Bi 0.244 0.500 0.250
7 Bi 0.756 0.500 0.750
8 Bi 0.758 0.000 0.254

Results
final energy: -51.9 eV per cell
symmetry: P2/m

***

Entry 19:
Crystalline DyPuTh2Bi4 at its relaxed geometry. Source: Alexandria via LeMat-Bulk, functional GGA-PBE.

a = 7.865 Å, b = 4.571 Å, c = 7.910 Å
α = 90.00°, β = 109.60°, γ = 90.00°
Positions (direct):
1 Dy 0.000 0.000 0.000
2 Pu 0.000 0.500 0.500
3 Th 0.500 0.000 0.500
4 Th 0.500 0.500 0.000
5 Bi 0.243 0.500 0.245
6 Bi 0.244 0.000 0.750
7 Bi 0.756 0.000 0.250
8 Bi 0.757 0.500 0.755

Results
final energy: -54.2 eV per cell
symmetry: P2/m

***

Entry 20:
Crystalline DyPu2ThBi4 at its relaxed geometry. Source: Alexandria via LeMat-Bulk, functional GGA-PBE.

a = 7.863 Å, b = 4.557 Å, c = 7.883 Å
α = 90.00°, β = 109.50°, γ = 90.00°
Positions (direct):
1 Dy 0.000 0.000 0.000
2 Pu 0.000 0.500 0.500
3 Pu 0.500 0.000 0.500
4 Th 0.500 0.500 0.000
5 Bi 0.245 0.000 0.749
6 Bi 0.246 0.500 0.249
7 Bi 0.754 0.500 0.751
8 Bi 0.755 0.000 0.251

Results
final energy: -60.6 eV per cell
symmetry: P2/m